one | Density functional theory data (PBE-GGA) for a geometry-optimized Ni2Sn2Pb structure.

a = 4.492 Å, b = 4.492 Å, c = 6.198 Å
α = 68.75°, β = 68.75°, γ = 90.00°
Element x y z (fractional)
Pb  0.000  0.000  0.000
Ni  0.750  0.250  0.500
Ni  0.250  0.750  0.500
Sn  0.361  0.361  0.277
Sn  0.639  0.639  0.723

=====

two | Density functional theory data (PBE-GGA) for a geometry-optimized Ni2Sn2Pb structure.

a = 7.733 Å, b = 7.733 Å, c = 3.271 Å
α = 90.00°, β = 90.00°, γ = 90.00°
Element x y z (fractional)
Pb  0.000  0.000  0.000
Pb  0.500  0.500  0.000
Ni  0.375  0.875  0.000
Ni  0.875  0.625  0.000
Ni  0.625  0.125  0.000
Ni  0.125  0.375  0.000
Sn  0.158  0.658  0.500
Sn  0.658  0.842  0.500
Sn  0.842  0.342  0.500
Sn  0.342  0.158  0.500

=====

Stability ranking, top entry: one; the second entry is 25 meV/atom less favorable.

=====

one | Density functional theory data (PBE-GGA) for a geometry-optimized Sr2TlNiPb structure.

a = 5.655 Å, b = 5.655 Å, c = 5.019 Å
α = 90.00°, β = 90.00°, γ = 90.00°
Element x y z (fractional)
Pb  0.500  0.500  0.500
Sr  0.000  0.500  0.000
Sr  0.500  0.000  0.000
Tl  0.000  0.000  0.500
Ni  0.000  0.000  0.000

=====

two | Density functional theory data (PBE-GGA) for a geometry-optimized Sr2TlNiPb structure.

a = 5.797 Å, b = 5.797 Å, c = 4.927 Å
α = 90.00°, β = 90.00°, γ = 90.00°
Element x y z (fractional)
Pb  0.000  0.000  0.500
Sr  0.000  0.500  0.000
Sr  0.500  0.000  0.000
Tl  0.500  0.500  0.500
Ni  0.000  0.000  0.000

=====

Stability ranking, top entry: two; the second entry is 37 meV/atom less favorable.

=====

one | Density functional theory data (PBE-GGA) for a geometry-optimized Ta3NiPb structure.

a = 4.665 Å, b = 4.665 Å, c = 4.665 Å
α = 90.00°, β = 90.00°, γ = 90.00°
Element x y z (fractional)
Pb  0.500  0.500  0.500
Ni  0.000  0.000  0.000
Ta  0.000  0.500  0.000
Ta  0.000  0.000  0.500
Ta  0.500  0.000  0.000

=====

two | Density functional theory data (PBE-GGA) for a geometry-optimized Ta3NiPb structure.

a = 5.079 Å, b = 5.079 Å, c = 5.079 Å
α = 90.00°, β = 90.00°, γ = 90.00°
Site moments in Bohr magnetons follow the coordinates.
Element x y z (fractional)
Pb  0.000  0.000  0.000  -0.01
Ni  0.500  0.500  0.500  0.64
Ta  0.000  0.500  0.000  0.07
Ta  0.000  0.000  0.500  0.01
Ta  0.500  0.000  0.000  0.16

=====

Stability ranking, top entry: one; the second entry is 1932 meV/atom less favorable.

=====

one | Density functional theory data (PBE-GGA) for a geometry-optimized TcNiPb2 structure.

a = 4.725 Å, b = 4.725 Å, c = 3.373 Å
α = 90.00°, β = 90.00°, γ = 89.67°
Element x y z (fractional)
Ni  0.000  0.500  0.500
Pb  0.000  0.000  0.000
Pb  0.500  0.500  0.000
Tc  0.500  0.000  0.500

=====

two | Density functional theory data (PBE-GGA) for a geometry-optimized TcNiPb2 structure.

a = 3.242 Å, b = 3.242 Å, c = 8.307 Å
α = 90.00°, β = 90.00°, γ = 114.41°
Element x y z (fractional)
Ni  0.500  0.500  0.750
Pb  0.000  0.000  0.990
Pb  0.000  0.000  0.510
Tc  0.500  0.500  0.250

=====

Stability ranking, top entry: one; the second entry is 124 meV/atom less favorable.

=====

one | Density functional theory data (PBE-GGA) for a geometry-optimized Tc3NiPb structure.

a = 4.917 Å, b = 4.917 Å, c = 4.917 Å
α = 90.00°, β = 90.00°, γ = 90.00°
Element x y z (fractional)
Pb  0.000  0.000  0.000
Ni  0.500  0.500  0.500
Tc  0.000  0.500  0.000
Tc  0.000  0.000  0.500
Tc  0.500  0.000  0.000

=====

two | Density functional theory data (PBE-GGA) for a geometry-optimized Tc3NiPb structure.

a = 4.536 Å, b = 4.536 Å, c = 4.536 Å
α = 90.00°, β = 90.00°, γ = 90.00°
Site moments in Bohr magnetons follow the coordinates.
Element x y z (fractional)
Pb  0.500  0.500  0.500  -0.03
Ni  0.000  0.000  0.000  0.67
Tc  0.000  0.500  0.000  1.16
Tc  0.000  0.000  0.500  1.61
Tc  0.500  0.000  0.000  1.03

=====

Stability ranking, top entry: two; the second entry is 1604 meV/atom less favorable.

=====

one | Density functional theory data (PBE-GGA) for a geometry-optimized TiNiPb2 structure.

a = 4.877 Å, b = 4.877 Å, c = 4.877 Å
α = 60.00°, β = 60.00°, γ = 60.00°
Site moments in Bohr magnetons follow the coordinates.
Element x y z (fractional)
Pb  0.250  0.250  0.250  0.04
Pb  0.750  0.750  0.750  0.04
Ni  0.500  0.500  0.500  0.06
Ti  0.000  0.000  0.000  1.38

=====

two | Density functional theory data (PBE-GGA) for a geometry-optimized TiNiPb2 structure.

a = 4.432 Å, b = 4.432 Å, c = 9.834 Å
α = 76.98°, β = 76.98°, γ = 90.00°
Element x y z (fractional)
Pb  0.636  0.125  0.250
Pb  0.114  0.625  0.250
Pb  0.375  0.364  0.750
Pb  0.875  0.886  0.750
Ni  0.000  0.000  0.000
Ni  0.750  0.250  0.500
Ti  0.500  0.500  0.000
Ti  0.250  0.750  0.500

=====

Stability ranking, top entry: one; the second entry is 164 meV/atom less favorable.

=====

one | Density functional theory data (PBE-GGA) for a geometry-optimized TlNiPb structure.

a = 4.628 Å, b = 4.628 Å, c = 4.628 Å
α = 60.00°, β = 60.00°, γ = 60.00°
Element x y z (fractional)
Ni  0.750  0.750  0.750
Pb  0.000  0.000  0.000
Tl  0.500  0.500  0.500

=====

two | Density functional theory data (PBE-GGA) for a geometry-optimized TlNiPb structure.

a = 6.700 Å, b = 7.129 Å, c = 7.096 Å
α = 58.98°, β = 79.13°, γ = 84.57°
Element x y z (fractional)
Tl  0.196  0.246  0.417
Tl  0.133  0.237  0.943
Tl  0.717  0.263  0.263
Tl  0.309  0.741  0.584
Ni  0.056  0.555  0.039
Ni  0.443  0.442  0.968
Ni  0.476  0.028  0.175
Ni  0.026  0.971  0.831
Pb  0.790  0.743  0.732
Pb  0.812  0.751  0.252
Pb  0.689  0.247  0.750
Pb  0.360  0.775  0.047

=====

three | Density functional theory data (PBE-GGA) for a geometry-optimized TlNiPb structure.

a = 6.829 Å, b = 6.829 Å, c = 3.305 Å
α = 76.00°, β = 75.99°, γ = 28.01°
Element x y z (fractional)
Ni  0.997  0.997  0.003
Pb  0.370  0.370  0.630
Tl  0.633  0.633  0.367

=====

Stability ranking, top entry: two; the second entry is 30 meV/atom less favorable.

=====

one | Density functional theory data (PBE-GGA) for a geometry-optimized TlNiPb3 structure.

a = 5.242 Å, b = 5.242 Å, c = 5.242 Å
α = 90.00°, β = 90.00°, γ = 90.00°
Element x y z (fractional)
Pb  0.000  0.500  0.000
Pb  0.000  0.000  0.500
Pb  0.500  0.000  0.000
Ni  0.000  0.000  0.000
Tl  0.500  0.500  0.500

=====

two | Density functional theory data (PBE-GGA) for a geometry-optimized TlNiPb3 structure.

a = 5.827 Å, b = 5.827 Å, c = 5.827 Å
α = 90.00°, β = 90.00°, γ = 90.00°
Element x y z (fractional)
Pb  0.000  0.500  0.000
Pb  0.000  0.000  0.500
Pb  0.500  0.000  0.000
Ni  0.500  0.500  0.500
Tl  0.000  0.000  0.000

=====

Stability ranking, top entry: one; the second entry is 1037 meV/atom less favorable.